Record 1
First-principles (PBE-GGA) data for TbDyCu2P4 after structural relaxation, as listed in the Open Quantum Materials Database.

Structure (CIF):
```
data_TbDyCu2P4
_space_group_name_H-M_alt 'P 4 m m'
_space_group_IT_number 99
_space_group_name_Hall 'P 4 -2'
_cell_length_a 3.7246
_cell_length_b 3.7246
_cell_length_c 9.7290
_cell_angle_alpha 90.00
_cell_angle_beta 90.00
_cell_angle_gamma 90.00
loop_
_atom_site_label
_atom_site_fract_x
_atom_site_fract_y
_atom_site_fract_z
Tb1 0.0000 0.0000 0.0000
Dy1 0.5000 0.5000 0.5360
Cu1 0.0000 0.5000 0.2683
P1 0.0000 0.0000 0.4231
P2 0.0000 0.5000 0.7673
P3 0.5000 0.5000 0.1138
```

Values from the calculation:
- Energy: -5.663 eV/atom

---

Record 2
First-principles (PBE-GGA) data for DyYCu2P4 after structural relaxation, as listed in the Open Quantum Materials Database.

Structure (CIF):
```
data_DyYCu2P4
_space_group_name_H-M_alt 'P 4 m m'
_space_group_IT_number 99
_space_group_name_Hall 'P 4 -2'
_cell_length_a 3.7193
_cell_length_b 3.7193
_cell_length_c 9.7306
_cell_angle_alpha 90.00
_cell_angle_beta 90.00
_cell_angle_gamma 90.00
loop_
_atom_site_label
_atom_site_fract_x
_atom_site_fract_y
_atom_site_fract_z
Dy1 0.0000 0.0000 0.0000
Y1 0.5000 0.5000 0.5375
Cu1 0.0000 0.5000 0.2680
P1 0.0000 0.0000 0.4234
P2 0.0000 0.5000 0.7692
P3 0.5000 0.5000 0.1124
```

Values from the calculation:
- Energy: -5.890 eV/atom

---

Record 3
First-principles (PBE-GGA) data for DyPaCu after structural relaxation, as listed in the Open Quantum Materials Database.

Structure (CIF):
```
data_DyPaCu
_space_group_name_H-M_alt 'F -4 3 m'
_space_group_IT_number 216
_space_group_name_Hall 'F -4 2 3'
_cell_length_a 6.6762
_cell_length_b 6.6762
_cell_length_c 6.6762
_cell_angle_alpha 90.00
_cell_angle_beta 90.00
_cell_angle_gamma 90.00
loop_
_atom_site_label
_atom_site_fract_x
_atom_site_fract_y
_atom_site_fract_z
Dy1 0.0000 0.0000 0.0000
Pa1 0.0000 0.0000 0.5000
Cu1 0.2500 0.2500 0.2500
```

Values from the calculation:
- Energy relative to the elements: 1.3 eV per formula unit

---

Record 4
First-principles (PBE-GGA) data for Dy2CuPb6 after structural relaxation, as listed in the Open Quantum Materials Database.

Structure (CIF):
```
data_Dy2CuPb6
_space_group_name_H-M_alt 'C m m m'
_space_group_IT_number 65
_space_group_name_Hall '-C 2 2'
_cell_length_a 4.6126
_cell_length_b 22.9488
_cell_length_c 4.7032
_cell_angle_alpha 90.00
_cell_angle_beta 90.00
_cell_angle_gamma 90.00
loop_
_atom_site_label
_atom_site_fract_x
_atom_site_fract_y
_atom_site_fract_z
Dy1 0.0000 0.1833 0.0000
Cu1 0.0000 0.5000 0.5000
Pb1 0.0000 0.0749 0.5000
Pb2 0.0000 0.2989 0.5000
Pb3 0.0000 0.4270 0.0000
```

Values from the calculation:
- Energy: -4.093 eV/atom

---

Record 5
First-principles (PBE-GGA) data for DyCuTe2PbS after structural relaxation, as listed in the Open Quantum Materials Database.

Structure (CIF):
```
data_DyCuTe2PbS
_space_group_name_H-M_alt 'C m c m'
_space_group_IT_number 63
_space_group_name_Hall '-C 2c 2'
_cell_length_a 4.1879
_cell_length_b 14.4522
_cell_length_c 10.3782
_cell_angle_alpha 90.00
_cell_angle_beta 90.00
_cell_angle_gamma 90.00
loop_
_atom_site_label
_atom_site_fract_x
_atom_site_fract_y
_atom_site_fract_z
Dy1 0.0000 0.0000 0.0000
Cu1 0.0000 0.4803 0.2500
Te1 0.0000 0.3524 0.0645
Pb1 0.0000 0.2735 0.7500
S1 0.0000 0.0640 0.2500
```

Values from the calculation:
- Energy: -4.575 eV/atom

---

Record 6
First-principles (PBE-GGA) data for DyCuTe2PbSe after structural relaxation, as listed in the Open Quantum Materials Database.

Structure (CIF):
```
data_DyCuTe2PbSe
_space_group_name_H-M_alt 'C m c m'
_space_group_IT_number 63
_space_group_name_Hall '-C 2c 2'
_cell_length_a 4.2254
_cell_length_b 14.5207
_cell_length_c 10.6454
_cell_angle_alpha 90.00
_cell_angle_beta 90.00
_cell_angle_gamma 90.00
loop_
_atom_site_label
_atom_site_fract_x
_atom_site_fract_y
_atom_site_fract_z
Dy1 0.0000 0.0000 0.0000
Cu1 0.0000 0.4744 0.2500
Te1 0.0000 0.3534 0.0632
Pb1 0.0000 0.2602 0.7500
Se1 0.0000 0.0716 0.2500
```

Values from the calculation:
- Energy: -4.442 eV/atom

---

no.,total magnetization (μB/f.u.)
1,0.001
2,0.000
3,0.966
4,0.004
5,0.000
6,0.000